Here is ZrTaCoOs after structural relaxation from Alexandria via LeMat-Bulk. Energies are from PBE-GGA.

Final energy ... -9.989 eV per atom
ρ ... 13.2 g cm⁻³

The structure in CIF format:
```
data_ZrTaCoOs
_cell_length_a 4.522
_cell_length_b 4.522
_cell_length_c 4.522
_cell_angle_alpha 60.00
_cell_angle_beta 60.00
_cell_angle_gamma 60.00
_space_group_name_H-M_alt 'P 1'
_space_group_IT_number 1
_space_group_name_Hall 'P 1'
loop_
_atom_site_label
_atom_site_fract_x
_atom_site_fract_y
_atom_site_fract_z
Co1 0.000 0.000 0.000
Zr1 0.250 0.250 0.250
Os1 0.500 0.500 0.500
Ta1 0.750 0.750 0.750
```

---

Here is LiTaFe2 after structural relaxation from Alexandria via LeMat-Bulk. Energies are from PBE-GGA.

Final energy ... -7.438 eV per atom
ρ ... 9.4 g cm⁻³

The structure in CIF format:
```
data_LiTaFe2
_cell_length_a 4.171
_cell_length_b 2.621
_cell_length_c 4.949
_cell_angle_alpha 79.50
_cell_angle_beta 90.00
_cell_angle_gamma 90.00
_space_group_name_H-M_alt 'P 1'
_space_group_IT_number 1
_space_group_name_Hall 'P 1'
loop_
_atom_site_label
_atom_site_fract_x
_atom_site_fract_y
_atom_site_fract_z
Li1 0.000 0.467 0.472
Ta1 0.500 0.737 0.763
Fe1 0.500 0.252 0.253
Fe2 0.000 0.044 0.012
```

---

Here is TiGeF2 after structural relaxation from Alexandria via LeMat-Bulk. Energies are from PBE-GGA.

Uncorrected formation energy ... -391 kJ/mol of formula units
ρ ... 5.0 g cm⁻³

The structure in CIF format:
```
data_TiGeF2
_cell_length_a 4.204
_cell_length_b 4.204
_cell_length_c 4.204
_cell_angle_alpha 60.00
_cell_angle_beta 60.00
_cell_angle_gamma 60.00
_space_group_name_H-M_alt 'P 1'
_space_group_IT_number 1
_space_group_name_Hall 'P 1'
loop_
_atom_site_label
_atom_site_fract_x
_atom_site_fract_y
_atom_site_fract_z
Ge1 0.500 0.500 0.500
F1 0.750 0.750 0.750
F2 0.250 0.250 0.250
Ti1 0.000 0.000 0.000
```

---

Here is CaSn4S9 after structural relaxation from Alexandria via LeMat-Bulk. Energies are from PBE-GGA.

Uncorrected formation energy ... -658 kJ/mol of formula units
ρ ... 3.9 g cm⁻³

The structure in CIF format:
```
data_CaSn4S9
_cell_length_a 6.828
_cell_length_b 8.291
_cell_length_c 12.363
_cell_angle_alpha 79.47
_cell_angle_beta 90.00
_cell_angle_gamma 90.00
_space_group_name_H-M_alt 'P 1'
_space_group_IT_number 1
_space_group_name_Hall 'P 1'
loop_
_atom_site_label
_atom_site_fract_x
_atom_site_fract_y
_atom_site_fract_z
S1 0.843 0.984 0.169
S2 0.031 0.500 0.250
S3 0.435 0.605 0.868
S4 0.101 0.714 0.478
S5 0.383 0.165 0.406
S6 0.843 0.016 0.331
S7 0.899 0.714 0.978
S8 0.157 0.016 0.831
S9 0.435 0.395 0.632
S10 0.899 0.286 0.522
S11 0.565 0.605 0.368
S12 0.157 0.984 0.669
S13 0.969 0.500 0.750
S14 0.617 0.835 0.594
S15 0.101 0.286 0.022
S16 0.565 0.395 0.132
S17 0.617 0.165 0.906
S18 0.383 0.835 0.094
Sn1 0.701 0.694 0.163
Sn2 0.226 0.429 0.437
Sn3 0.226 0.571 0.063
Sn4 0.774 0.571 0.563
Sn5 0.701 0.306 0.337
Sn6 0.774 0.429 0.937
Sn7 0.299 0.306 0.837
Sn8 0.299 0.694 0.663
Ca1 0.779 0.000 0.750
Ca2 0.221 0.000 0.250
```

---

Question: Which value of ρ does entry 4 give?
Answer: 3.9 g cm⁻³

---

Question: Look up the ρ of the second one.
Answer: 9.4 g cm⁻³